A geometry-optimized Rb2ScRuO6 structure. Source: Alexandria, functional GGA-PBE.

Unit cell a=6.296 b=6.296 c=5.382 alpha=90.00 beta=90.00 gamma=120.00
Positions (direct):
Rb1 0.333 0.667 0.177
Rb2 0.667 0.333 0.823
Sc1 0.000 0.000 0.500
Ru1 0.000 0.000 0.000
O1 0.138 0.277 0.779
O2 0.138 0.862 0.779
O3 0.277 0.138 0.221
O4 0.723 0.862 0.779
O5 0.862 0.138 0.221
O6 0.862 0.723 0.221

## Properties
E_form (uncorrected) (eV per atom): -1.58
Total magnetic moment (μB/cell): 1.02
ρ (g/cm³): 3.71
Electronic total energy (eV per atom): -6.3113

***

A geometry-optimized KZnFe2 structure. Source: Alexandria, functional GGA-PBE.

Unit cell a=2.721 b=3.954 c=7.413 alpha=90.00 beta=90.00 gamma=90.00
Positions (direct):
K1 0.000 0.000 0.000
Zn1 0.000 0.000 0.500
Fe1 0.500 0.500 0.350
Fe2 0.500 0.500 0.650

## Properties
Total magnetic moment (μB/cell): 5.26
ρ (g/cm³): 4.50
Calculated formation energy (eV/atom): 0.6391
Electronic total energy (eV per atom): -4.1851

***

total magnetic moment of number 1 (Rb2ScRuO6)? 1.02 μB/cell

***

Number 2 is which compound? KZnFe2

***

ρ of number 2 (KZnFe2)? 4.50 g/cm³